No. 1
The following is a DFT calculation (meta-GGA SCAN) of a crystal of BeReB2 relaxed with PBEsol.

Unit cell a=5.377 b=5.377 c=4.989 alpha=90.00 beta=90.00 gamma=90.00
Space group I-42d (No. 122)
Symmetry-distinct sites (fractional):
Be 0.000 0.000 0.000
Re 0.000 0.000 0.500
B 0.204 0.750 0.125

Properties
Fermi-level density of states = 1.1 states/eV/f.u.
energy = -0.805 Ha/atom
energy of formation from the pure elements = 661 meV per atom
total magnetic moment = 0.00 μB/cell

No. 2
The following is a DFT calculation (meta-GGA SCAN) of a crystal of BeBRh2 relaxed with PBEsol.

Unit cell a=5.404 b=5.404 c=5.404 alpha=90.00 beta=90.00 gamma=90.00
Space group Fm-3m (No. 225)
Symmetry-distinct sites (fractional):
Be 0.000 0.000 0.000
B 0.000 0.000 0.500
Rh 0.250 0.250 0.250

Properties
Fermi-level density of states = 1.0 states/eV/f.u.
energy = -0.748 Ha/atom
energy of formation from the pure elements = -530 meV per atom
total magnetic moment = 0.00 μB/cell

No. 3
The following is a DFT calculation (meta-GGA SCAN) of a crystal of BeBRu2 relaxed with PBEsol.

Unit cell a=5.738 b=5.738 c=5.311 alpha=90.00 beta=90.00 gamma=90.00
Space group I-42d (No. 122)
Symmetry-distinct sites (fractional):
Be 0.000 0.000 0.000
B 0.000 0.000 0.500
Ru 0.218 0.250 0.625

Properties
Fermi-level density of states = 3.7 states/eV/f.u.
energy = -0.745 Ha/atom
energy of formation from the pure elements = 98 meV per atom
total magnetic moment = 0.01 μB/cell

No. 4
The following is a DFT calculation (meta-GGA SCAN) of a crystal of BeB3Ru relaxed with PBEsol.

Unit cell a=4.008 b=4.008 c=4.008 alpha=90.00 beta=90.00 gamma=90.00
Space group Pm-3m (No. 221)
Symmetry-distinct sites (fractional):
Be 0.000 0.000 0.000
B 0.000 0.500 0.500
Ru 0.500 0.500 0.500

Properties
Fermi-level density of states = 2.6 states/eV/f.u.
energy = -0.403 Ha/atom
energy of formation from the pure elements = 1333 meV per atom
total magnetic moment = 0.00 μB/cell

No. 5
The following is a DFT calculation (meta-GGA SCAN) of a crystal of BeBRu relaxed with PBEsol.

Unit cell a=7.620 b=3.033 c=5.441 alpha=90.00 beta=122.81 gamma=90.00
Space group C2/m (No. 12)
Symmetry-distinct sites (fractional):
Be 0.181 0.000 0.081
B 0.138 0.000 0.662
Ru 0.059 0.500 0.307

Properties
Fermi-level density of states = 0.9 states/eV/f.u.
energy = -0.586 Ha/atom
energy of formation from the pure elements = -421 meV per atom
total magnetic moment = 0.01 μB/cell

No. 6
The following is a DFT calculation (meta-GGA SCAN) of a crystal of BeBS2 relaxed with PBEsol.

Unit cell a=4.666 b=4.666 c=9.174 alpha=90.00 beta=90.00 gamma=90.00
Space group I-42d (No. 122)
Symmetry-distinct sites (fractional):
Be 0.000 0.000 0.000
B 0.000 0.000 0.500
S 0.228 0.250 0.625

Properties
Fermi-level density of states = 1.4 states/eV/f.u.
energy = -0.294 Ha/atom
ΔE_f (raw) = -0.952 eV per formula unit
total magnetic moment = 0.00 μB/cell

No. 7
The following is a DFT calculation (meta-GGA SCAN) of a crystal of BeB3S relaxed with PBEsol.

Unit cell a=3.760 b=3.760 c=3.760 alpha=90.00 beta=90.00 gamma=90.00
Space group Pm-3m (No. 221)
Symmetry-distinct sites (fractional):
Be 0.000 0.000 0.000
B 0.000 0.500 0.500
S 0.500 0.500 0.500

Properties
Fermi-level density of states = 2.7 states/eV/f.u.
energy = -0.196 Ha/atom
ΔE_f (raw) = 9.607 eV per formula unit
total magnetic moment = 0.00 μB/cell

No. 8
The following is a DFT calculation (meta-GGA SCAN) of a crystal of Be2SnBS relaxed with PBEsol.

Unit cell a=3.803 b=3.803 c=5.009 alpha=90.00 beta=90.00 gamma=90.00
Space group P4/mmm (No. 123)
Symmetry-distinct sites (fractional):
Be 0.000 0.500 0.000
Sn 0.000 0.000 0.500
B 0.000 0.000 0.000
S 0.500 0.500 0.500

Properties
Fermi-level density of states = 0.9 states/eV/f.u.
energy = -0.443 Ha/atom
ΔE_f (raw) = 1.381 eV per formula unit
total magnetic moment = 0.00 μB/cell

No. 9
The following is a DFT calculation (meta-GGA SCAN) of a crystal of BeB3Sb relaxed with PBEsol.

Unit cell a=3.858 b=3.858 c=3.858 alpha=90.00 beta=90.00 gamma=90.00
Space group Pm-3m (No. 221)
Symmetry-distinct sites (fractional):
Be 0.000 0.000 0.000
B 0.000 0.000 0.500
Sb 0.500 0.500 0.500

Properties
Fermi-level density of states = 2.1 states/eV/f.u.
energy = -0.408 Ha/atom
ΔE_f (raw) = 8.435 eV per formula unit
total magnetic moment = 0.00 μB/cell

No. 10
The following is a DFT calculation (meta-GGA SCAN) of a crystal of ScBeB3 relaxed with PBEsol.

Unit cell a=3.634 b=3.634 c=3.634 alpha=90.00 beta=90.00 gamma=90.00
Space group Pm-3m (No. 221)
Symmetry-distinct sites (fractional):
Sc 0.000 0.000 0.000
Be 0.500 0.500 0.500
B 0.000 0.500 0.500

Properties
Fermi-level density of states = 1.4 states/eV/f.u.
energy = -0.273 Ha/atom
energy of formation from the pure elements = 755 meV per atom
total magnetic moment = 0.00 μB/cell

No. 11
The following is a DFT calculation (meta-GGA SCAN) of a crystal of Sc2BeB relaxed with PBEsol.

Unit cell a=3.0967 b=3.0967 c=25.6429 alpha=90.00 beta=90.00 gamma=120.00
Space group R-3m (No. 166, hexagonal axes)
Symmetry-distinct sites (fractional):
Sc 0.0000 0.0000 0.1073
Be 0.0000 0.0000 0.0000
B 0.0000 0.0000 0.5000

Properties
Fermi-level density of states = 2.8 states/eV/f.u.
energy = -0.349 Ha/atom
energy of formation from the pure elements = 567 meV per atom
total magnetic moment = 0.00 μB/cell

No. 12
The following is a DFT calculation (meta-GGA SCAN) of a crystal of ScBeB2 relaxed with PBEsol.

Unit cell a=3.623 b=3.623 c=12.698 alpha=90.00 beta=90.00 gamma=90.00
Space group I4_1/amd (No. 141, origin choice 2)
Symmetry-distinct sites (fractional):
Sc 0.000 0.250 0.375
Be 0.000 0.250 0.875
B 0.000 0.000 0.000

Properties
Fermi-level density of states = 1.5 states/eV/f.u.
energy = -0.314 Ha/atom
energy of formation from the pure elements = -173 meV per atom
total magnetic moment = 0.00 μB/cell

total magnetic moment of number 6 (BeBS2)?
0.00 μB/cell

Look up the Fermi-level density of states of the tenth one.
1.4 states/eV/f.u.

Look up the total magnetic moment of the ninth one.
0.00 μB/cell

Among the records above, which one has the highest energy?
BeB3S